Computed, not measured: K2BeRu after structural relaxation at the PBE level of DFT.

Summary:
SG: P4/mmm
VASP energy: -2.5642 eV per atom
Crystal system: tetragonal
V: 82.36 Å³/cell

abc: 3.8946 3.8946 5.4302
angles: 90.00 90.00 90.00
Closest atoms and distances in Å follow each position.
Atoms (fractional coordinates):
1 K 0.0000 0.5000 0.0000  4 K 2.75
2 K 0.5000 0.0000 0.0000  4 K 2.75
3 Be 0.0000 0.0000 0.5000  4 Ru 2.75
4 Ru 0.5000 0.5000 0.5000  4 Be 2.75